This record from Alexandria via LeMat-Bulk describes an optimized crystal structure of CoGeIO2. The functional is GGA+U.

a b c (Å): 3.998 3.998 5.362
angles (deg): 90.00 90.00 90.00
Positions (direct):
O1 0.000 0.500 0.000
O2 0.500 0.000 0.000
Ge1 0.500 0.500 0.500
I1 0.000 0.000 0.500
Co1 0.000 0.000 0.000

Properties
Its crystal system is tetragonal. The calculation puts the total energy at -20.65 eV for the cell shown. For the polymorph energy (0 for the lowest one), the calculation gives 0.407 eV/atom. The calculation puts the density of states at the Fermi level at 3.385 states/eV per cell.